CrCo2Ir (PBE-GGA, relaxed); polymorph energy (0 for the lowest one) = 0 meV/atom; E_tot = -33.0 eV for the cell shown; DFT formation energy = -0.32 eV/f.u.
1.0
3.660 0.000 0.000
0.000 3.632 0.000
0.000 0.000 3.632
Cr Ir Co
1 1 2
direct
0.500 0.500 0.000 Cr
0.500 0.000 0.500 Ir
0.000 0.000 0.000 Co
0.000 0.500 0.500 Co